[1]
Below is CaTcTe after structural relaxation, with properties calculated at the PBE level.

a b c (Å): 4.5555 4.5555 3.8966
angles (deg): 90.00 90.00 120.00
Positions (direct):
Ca: 0.0000 0.0000 0.0000
Tc: 0.6667 0.3333 0.5000
Te: 0.3333 0.6667 0.5000

Calculated values
Raw formation energy = -0.113 eV/atom
Space group = P-6m2 (187)

***

[2]
Below is CaTc2Te2 after structural relaxation, with properties calculated at the PBE level.

a b c (Å): 7.8232 7.8232 3.3304
angles (deg): 90.00 90.00 90.00
Positions (direct):
Ca: 0.0000 0.0000 0.0000
Ca: 0.5000 0.5000 0.0000
Tc: 0.1310 0.3690 0.0000
Tc: 0.3690 0.8690 0.0000
Tc: 0.6310 0.1310 0.0000
Tc: 0.8690 0.6310 0.0000
Te: 0.1615 0.6615 0.5000
Te: 0.3385 0.1615 0.5000
Te: 0.6615 0.8385 0.5000
Te: 0.8385 0.3385 0.5000

Calculated values
Raw formation energy = 0.156 eV/atom
Space group = P4/mbm (127)

***

[3]
Below is CaTc3Te after structural relaxation, with properties calculated at the PBE level.

a b c (Å): 4.7327 4.7327 4.7327
angles (deg): 90.00 90.00 90.00
Positions (direct):
Ca: 0.0000 0.0000 0.0000
Tc: 0.0000 0.0000 0.5000
Tc: 0.0000 0.5000 0.0000
Tc: 0.5000 0.0000 0.0000
Te: 0.5000 0.5000 0.5000

Calculated values
Raw formation energy = 2.390 eV/atom
Space group = Pm-3m (221)

***

[4]
Below is CaTcTe2 after structural relaxation, with properties calculated at the PBE level.

a b c (Å): 5.2251 5.2251 5.2251
angles (deg): 60.00 60.00 60.00
Positions (direct):
Ca: 0.0000 0.0000 0.0000
Tc: 0.7500 0.7500 0.7500
Te: 0.2500 0.2500 0.2500
Te: 0.5000 0.5000 0.5000

Calculated values
Raw formation energy = 0.409 eV/atom
Space group = F-43m (216)